1.
# NaHfInH2 SCAN PBEsol geometry
data_NaHfInH2
_cell_length_a 4.040
_cell_length_b 4.040
_cell_length_c 5.694
_cell_angle_alpha 90.00
_cell_angle_beta 90.00
_cell_angle_gamma 90.00
_symmetry_space_group_name_H-M 'P 4/m m m'
_symmetry_Int_Tables_number 123
_symmetry_space_group_name_Hall '-P 4 2'
loop_
_atom_site_label
_atom_site_type_symbol
_atom_site_fract_x
_atom_site_fract_y
_atom_site_fract_z
Na1 Na 0.000 0.000 0.000
Hf1 Hf 0.000 0.000 0.500
In1 In 0.500 0.500 0.500
H1 H 0.000 0.500 0.000
# DFT total energy, eV/f.u.: -102.3

2.
# KSc2Sb SCAN PBEsol geometry
data_KSc2Sb
_cell_length_a 3.733
_cell_length_b 3.873
_cell_length_c 8.381
_cell_angle_alpha 90.00
_cell_angle_beta 90.00
_cell_angle_gamma 90.00
_symmetry_space_group_name_H-M 'P m m 2'
_symmetry_Int_Tables_number 25
loop_
_symmetry_equiv_pos_as_xyz
'x,y,z'
'-x,-y,z'
'-x,y,z'
'x,-y,z'
loop_
_atom_site_label
_atom_site_type_symbol
_atom_site_fract_x
_atom_site_fract_y
_atom_site_fract_z
K1 K 0.000 0.000 0.000
Sc1 Sc 0.000 0.000 0.432
Sc2 Sc 0.500 0.500 0.634
Sb1 Sb 0.500 0.500 0.289
# Formation energy (no corrections), eV per atom: -0.265

3.
# BeRe2 SCAN PBEsol geometry
data_BeRe2
_cell_length_a 8.856
_cell_length_b 2.976
_cell_length_c 5.930
_cell_angle_alpha 90.00
_cell_angle_beta 102.26
_cell_angle_gamma 90.00
_symmetry_space_group_name_H-M 'C 1 m 1'
_symmetry_Int_Tables_number 8
loop_
_symmetry_equiv_pos_as_xyz
'x,y,z'
'x,-y,z'
'x+1/2,y+1/2,z'
'x+1/2,-y+1/2,z'
loop_
_atom_site_label
_atom_site_type_symbol
_atom_site_fract_x
_atom_site_fract_y
_atom_site_fract_z
Be1 Be 0.000 0.000 0.000
Be2 Be 0.242 0.500 0.416
Re1 Re 0.062 0.000 0.611
Re2 Re 0.203 0.500 0.001
Re3 Re 0.357 0.000 0.738
Re4 Re 0.429 0.000 0.256
# ΔE to the lowest computed polymorph, eV per atom: 0.333
# DFT formation energy, eV/f.u.: 0.0

4.
# LiSi2W SCAN PBEsol geometry
data_LiSi2W
_cell_length_a 3.697
_cell_length_b 3.697
_cell_length_c 7.514
_cell_angle_alpha 90.00
_cell_angle_beta 90.00
_cell_angle_gamma 90.00
_symmetry_space_group_name_H-M 'I 4/m m m'
_symmetry_Int_Tables_number 139
_symmetry_space_group_name_Hall '-I 4 2'
loop_
_atom_site_label
_atom_site_type_symbol
_atom_site_fract_x
_atom_site_fract_y
_atom_site_fract_z
Li1 Li 0.000 0.000 0.000
Si1 Si 0.000 0.500 0.250
W1 W 0.000 0.000 0.500
# Formation energy (no corrections), eV per atom: 0.050
# ΔE to the lowest computed polymorph, eV per atom: 0.000

5.
# Ca3LaAl SCAN PBEsol geometry
data_Ca3LaAl
_cell_length_a 5.657
_cell_length_b 5.657
_cell_length_c 5.657
_cell_angle_alpha 90.00
_cell_angle_beta 90.00
_cell_angle_gamma 90.00
_symmetry_space_group_name_H-M 'P m -3 m'
_symmetry_Int_Tables_number 221
_symmetry_space_group_name_Hall '-P 4 2 3'
loop_
_atom_site_label
_atom_site_type_symbol
_atom_site_fract_x
_atom_site_fract_y
_atom_site_fract_z
Ca1 Ca 0.000 0.000 0.500
La1 La 0.000 0.000 0.000
Al1 Al 0.500 0.500 0.500
# DFT formation energy, eV/f.u.: 5.3

6.
# RbZrNi2Ag SCAN PBEsol geometry
data_RbZrNi2Ag
_cell_length_a 4.508
_cell_length_b 4.508
_cell_length_c 5.243
_cell_angle_alpha 90.00
_cell_angle_beta 90.00
_cell_angle_gamma 90.00
_symmetry_space_group_name_H-M 'P 4/m m m'
_symmetry_Int_Tables_number 123
_symmetry_space_group_name_Hall '-P 4 2'
loop_
_atom_site_label
_atom_site_type_symbol
_atom_site_fract_x
_atom_site_fract_y
_atom_site_fract_z
Rb1 Rb 0.000 0.000 0.000
Zr1 Zr 0.500 0.500 0.500
Ni1 Ni 0.000 0.500 0.000
Ag1 Ag 0.000 0.000 0.500
# DFT formation energy, eV/f.u.: 10.1

7.
# KCr2Co SCAN PBEsol geometry
data_KCr2Co
_cell_length_a 2.892
_cell_length_b 2.892
_cell_length_c 8.072
_cell_angle_alpha 90.00
_cell_angle_beta 90.00
_cell_angle_gamma 90.00
_symmetry_space_group_name_H-M 'P 4 m m'
_symmetry_Int_Tables_number 99
loop_
_symmetry_equiv_pos_as_xyz
'x,y,z'
'-y,x,z'
'-x,-y,z'
'y,-x,z'
'-x,y,z'
'y,x,z'
'x,-y,z'
'-y,-x,z'
loop_
_atom_site_label
_atom_site_type_symbol
_atom_site_fract_x
_atom_site_fract_y
_atom_site_fract_z
K1 K 0.000 0.000 0.000
Cr1 Cr 0.000 0.000 0.468
Cr2 Cr 0.500 0.500 0.638
Co1 Co 0.500 0.500 0.322
# ΔE to the lowest computed polymorph, eV per atom: 0.000
# DFT formation energy, eV/f.u.: 2.8

8.
# ScTc2Hg SCAN PBEsol geometry
data_ScTc2Hg
_cell_length_a 2.921
_cell_length_b 4.261
_cell_length_c 5.613
_cell_angle_alpha 90.00
_cell_angle_beta 90.00
_cell_angle_gamma 90.00
_symmetry_space_group_name_H-M 'P m m m'
_symmetry_Int_Tables_number 47
loop_
_symmetry_equiv_pos_as_xyz
'x,y,z'
'-x,-y,-z'
'-x,-y,z'
'x,y,-z'
'x,-y,-z'
'-x,y,z'
'-x,y,-z'
'x,-y,z'
loop_
_atom_site_label
_atom_site_type_symbol
_atom_site_fract_x
_atom_site_fract_y
_atom_site_fract_z
Sc1 Sc 0.000 0.000 0.000
Tc1 Tc 0.500 0.500 0.201
Hg1 Hg 0.000 0.000 0.500
# DFT formation energy, eV/f.u.: 0.8

9.
# Ti3ZnRe SCAN PBEsol geometry
data_Ti3ZnRe
_cell_length_a 4.695
_cell_length_b 4.695
_cell_length_c 4.695
_cell_angle_alpha 90.00
_cell_angle_beta 90.00
_cell_angle_gamma 90.00
_symmetry_space_group_name_H-M 'P m -3 m'
_symmetry_Int_Tables_number 221
_symmetry_space_group_name_Hall '-P 4 2 3'
loop_
_atom_site_label
_atom_site_type_symbol
_atom_site_fract_x
_atom_site_fract_y
_atom_site_fract_z
Ti1 Ti 0.000 0.000 0.500
Zn1 Zn 0.500 0.500 0.500
Re1 Re 0.000 0.000 0.000
# DFT formation energy, eV/f.u.: 3.1

10.
# IrRu2Au SCAN PBEsol geometry
data_IrRu2Au
_cell_length_a 2.699
_cell_length_b 4.597
_cell_length_c 9.565
_cell_angle_alpha 90.00
_cell_angle_beta 90.00
_cell_angle_gamma 90.00
_symmetry_space_group_name_H-M 'I m m 2'
_symmetry_Int_Tables_number 44
loop_
_symmetry_equiv_pos_as_xyz
'x,y,z'
'-x,-y,z'
'-x,y,z'
'x,-y,z'
'x+1/2,y+1/2,z+1/2'
'-x+1/2,-y+1/2,z+1/2'
'-x+1/2,y+1/2,z+1/2'
'x+1/2,-y+1/2,z+1/2'
loop_
_atom_site_label
_atom_site_type_symbol
_atom_site_fract_x
_atom_site_fract_y
_atom_site_fract_z
Ir1 Ir 0.000 0.000 0.000
Ru1 Ru 0.000 0.000 0.454
Ru2 Ru 0.000 0.500 0.732
Au1 Au 0.000 0.500 0.226
# ΔE to the lowest computed polymorph, eV per atom: 0.122
# DFT formation energy, eV/f.u.: 1.8

11.
# SiSbCl SCAN PBEsol geometry
data_SiSbCl
_cell_length_a 3.559
_cell_length_b 3.559
_cell_length_c 13.854
_cell_angle_alpha 90.00
_cell_angle_beta 90.00
_cell_angle_gamma 90.00
_symmetry_space_group_name_H-M 'I 4 m m'
_symmetry_Int_Tables_number 107
_symmetry_space_group_name_Hall 'I 4 -2'
loop_
_atom_site_label
_atom_site_type_symbol
_atom_site_fract_x
_atom_site_fract_y
_atom_site_fract_z
Si1 Si 0.000 0.000 0.000
Sb1 Sb 0.000 0.000 0.578
Cl1 Cl 0.000 0.000 0.851
# Formation energy (no corrections), eV per atom: -0.139

12.
# K4Zr6CBr18 SCAN PBEsol geometry
data_K4Zr6CBr18
_cell_length_a 10.161
_cell_length_b 10.318
_cell_length_c 10.410
_cell_angle_alpha 118.43
_cell_angle_beta 100.52
_cell_angle_gamma 103.81
_symmetry_space_group_name_H-M 'P -1'
_symmetry_Int_Tables_number 2
loop_
_symmetry_equiv_pos_as_xyz
'x,y,z'
'-x,-y,-z'
loop_
_atom_site_label
_atom_site_type_symbol
_atom_site_fract_x
_atom_site_fract_y
_atom_site_fract_z
K1 K 0.151 0.038 0.228
K2 K 0.186 0.727 0.566
Zr1 Zr 0.349 0.445 0.772
Zr2 Zr 0.356 0.264 0.956
Zr3 Zr 0.365 0.627 0.133
C1 C 0.500 0.500 0.000
Br1 Br 0.162 0.378 0.494
Br2 Br 0.163 0.163 0.685
Br3 Br 0.174 0.580 0.890
Br4 Br 0.176 0.975 0.901
Br5 Br 0.180 0.373 0.101
Br6 Br 0.204 0.780 0.293
Br7 Br 0.480 0.291 0.584
Br8 Br 0.489 0.084 0.799
Br9 Br 0.494 0.707 0.787
# Formation energy (no corrections), eV per atom: -1.703